# 1
# CoHgAs2 PBE optimized geometry
# D(E_F) ... 1.8 states/eV per cell
# Total magnetic moment ... 0.00 Bohr magnetons per cell
# Space group ... No. 166
# Calculated total energy ... -16.63 eV/cell
# Energy of formation from the pure elements ... 0.019 eV/atom
data_CoHgAs2
_symmetry_space_group_name_H-M 'P 1'
_symmetry_Int_Tables_number 1
_symmetry_space_group_name_Hall 'P 1'
_cell_length_a 7.211
_cell_length_b 7.211
_cell_length_c 7.211
_cell_angle_alpha 29.52
_cell_angle_beta 29.52
_cell_angle_gamma 29.52
loop_
_atom_site_label
_atom_site_type_symbol
_atom_site_fract_x
_atom_site_fract_y
_atom_site_fract_z
_atom_site_occupancy
As1 As 0.967 0.967 0.967 1
As2 As 0.533 0.533 0.533 1
Co1 Co 0.250 0.250 0.250 1
Hg1 Hg 0.750 0.750 0.750 1

***

# 2
# ZrMnCu PBE optimized geometry
# D(E_F) ... 4.7 states/eV per cell
# Total magnetic moment ... 3.25 Bohr magnetons per cell
# Space group ... No. 216
# Calculated total energy ... -19.32 eV/cell
# Energy of formation from the pure elements ... 0.831 eV/atom
# Offset from the most stable computed form ... 802 meV per atom
data_ZrMnCu
_symmetry_space_group_name_H-M 'P 1'
_symmetry_Int_Tables_number 1
_symmetry_space_group_name_Hall 'P 1'
_cell_length_a 4.386
_cell_length_b 4.386
_cell_length_c 4.386
_cell_angle_alpha 60.00
_cell_angle_beta 60.00
_cell_angle_gamma 60.00
loop_
_atom_site_label
_atom_site_type_symbol
_atom_site_fract_x
_atom_site_fract_y
_atom_site_fract_z
_atom_site_occupancy
Cu1 Cu 0.000 0.000 0.000 1
Mn1 Mn 0.500 0.500 0.500 1
Zr1 Zr 0.250 0.250 0.250 1

***

# 3
# MoPRu PBE optimized geometry
# D(E_F) ... 3.8 states/eV per cell
# Total magnetic moment ... 0.00 Bohr magnetons per cell
# Space group ... No. 6
# Calculated total energy ... -52.80 eV/cell
# Energy of formation from the pure elements ... -0.295 eV/atom
# Offset from the most stable computed form ... 236 meV per atom
data_MoPRu
_symmetry_space_group_name_H-M 'P 1'
_symmetry_Int_Tables_number 1
_symmetry_space_group_name_Hall 'P 1'
_cell_length_a 4.519
_cell_length_b 2.882
_cell_length_c 6.681
_cell_angle_alpha 90.00
_cell_angle_beta 100.30
_cell_angle_gamma 90.00
loop_
_atom_site_label
_atom_site_type_symbol
_atom_site_fract_x
_atom_site_fract_y
_atom_site_fract_z
_atom_site_occupancy
Mo1 Mo 0.487 0.000 0.995 1
Mo2 Mo 0.598 0.500 0.369 1
P1 P 0.969 0.500 0.990 1
P2 P 0.392 0.000 0.607 1
Ru1 Ru 0.065 0.000 0.274 1
Ru2 Ru 0.926 0.000 0.695 1

***

# 4
# HfFe3Ni PBE optimized geometry
# D(E_F) ... 6.6 states/eV per cell
# Total magnetic moment ... 6.41 Bohr magnetons per cell
# Space group ... No. 221
# Calculated total energy ... -32.49 eV/cell
# Energy of formation from the pure elements ... 1.727 eV/atom
# Offset from the most stable computed form ... 1064 meV per atom
data_HfFe3Ni
_symmetry_space_group_name_H-M 'P 1'
_symmetry_Int_Tables_number 1
_symmetry_space_group_name_Hall 'P 1'
_cell_length_a 4.498
_cell_length_b 4.498
_cell_length_c 4.498
_cell_angle_alpha 90.00
_cell_angle_beta 90.00
_cell_angle_gamma 90.00
loop_
_atom_site_label
_atom_site_type_symbol
_atom_site_fract_x
_atom_site_fract_y
_atom_site_fract_z
_atom_site_occupancy
Ni1 Ni 0.500 0.500 0.500 1
Hf1 Hf 0.000 0.000 0.000 1
Fe1 Fe 0.000 0.500 0.000 1
Fe2 Fe 0.000 0.000 0.500 1
Fe3 Fe 0.500 0.000 0.000 1